P:
LiTbNi2 | Alexandria via LeMat-Bulk | GGA-PBE | optimized geometry; V = 63 Å³ per cell; density = 7.49 g/cm3
1.0
3.3216 0.0000 0.0000
0.0000 3.3216 0.0000
0.0000 0.0000 5.6895
Ni Li Tb
2 1 1
Cartesian
0.0000 0.0000 1.6032
0.0000 0.0000 4.0863
1.6608 1.6608 2.8447
1.6608 1.6608 0.0000

***

Q:
LiTbNi2 | Alexandria via LeMat-Bulk | GGA-PBE | optimized geometry; V = 65 Å³ per cell; density = 7.28 g/cm3
1.0
-1.2532 -3.8631 -1.9466
2.0189 -1.3733 -3.7844
2.7561 -3.5610 0.0826
Tb Li Ni
1 1 2
Cartesian
0.0000 0.0000 0.0000
1.7609 -4.3987 -2.8242
2.6413 -6.5981 -4.2363
0.8804 -2.1994 -1.4121

***

Compare the structures above. Which one is the most stable? P is.